DFT (GGA-PBE) results for a relaxed Y5Ho2Th2 crystal.

Cell: 23.1286 3.4909 8.2744 Å, 90.00 103.49 90.00°
Last column: nearest neighbours and their distance in Å.
Space group C2/m (No. 12)
One atom of each set of equivalent atoms:
Y (0.0000, 0.0000, 0.0000)  4 Y 3.36-3.49, 4 Th 3.44, 2 Ho 3.60
Y (0.0906, 0.0000, 0.7362)  5 Y 3.36-3.55, 4 Th 3.48-3.64, 1 Ho 3.70
Y (0.1955, 0.5000, 0.5639)  1 Th 3.36, 6 Y 3.43-3.55, 3 Ho 3.49-3.55
Ho (0.1570, 0.0000, 0.1882)  2 Ho 3.49, 5 Y 3.49-3.70, 2 Th 3.57
Th (0.0514, 0.5000, 0.3632)  7 Y 3.36-3.64, 3 Th 3.49-3.65, 2 Ho 3.57

ρ in g cm⁻³: 6.33
Final energy in Ry/atom: -0.438
Polymorph energy (0 for the lowest one) in eV/atom: 0.036
Density of states at the Fermi level in states/eV per cell: 29.0
Energy of formation in eV per atom: 0.299